Er3MnNi8 | Alexandria | PBE | optimized geometry; space group = R3m (160); ΔH_f (0 K) = -0.392 eV per atom
1.0
4.958 0.000 0.000
2.479 4.294 0.000
2.479 1.431 8.116
Er Ni Mn
3 8 1
Direct
0.506 0.506 0.483
0.377 0.377 0.869
0.992 0.992 0.023
0.938 0.938 0.682
0.188 0.188 0.435
0.939 0.436 0.190
0.436 0.939 0.190
0.688 0.688 0.936
0.436 0.436 0.190
0.938 0.441 0.682
0.441 0.938 0.682
0.871 0.871 0.388

***

PmGa2SiNi4 | Alexandria | PBE | optimized geometry; space group = R-3m (166); uncorrected formation energy = -0.489 eV/atom
1.0
4.046 0.000 0.000
2.023 3.504 0.000
2.023 1.168 8.381
Ga Pm Ni Si
2 1 4 1
Direct
0.756 0.756 0.733
0.244 0.244 0.267
0.000 0.000 0.000
0.139 0.139 0.584
0.589 0.589 0.232
0.861 0.861 0.416
0.411 0.411 0.768
0.500 0.500 0.500

***

LaRh2Pb3 | Alexandria | PBE | optimized geometry; space group = Pmc2_1 (26); ΔH_f (0 K) = -0.346 eV per atom
1.0
4.376 0.000 0.000
0.000 7.541 0.000
0.000 0.000 8.681
La Pb Rh
2 6 4
Direct
0.500 0.527 0.577
0.500 0.027 0.423
0.000 0.356 0.309
0.000 0.476 0.908
0.500 0.142 0.821
0.000 0.856 0.691
0.500 0.642 0.179
0.000 0.976 0.092
0.500 0.256 0.128
0.000 0.744 0.385
0.000 0.244 0.615
0.500 0.756 0.872